(1)
The following is a DFT calculation (PBE-GGA) of a relaxed structure of NiAgBiPt.

```
NiAgBiPt
1.0
0.000 3.284 3.284
3.284 0.000 3.284
3.284 3.284 0.000
Ag Pt Bi Ni
1 1 1 1
Direct
0.500 0.500 0.500
0.250 0.250 0.250
0.000 0.000 0.000
0.750 0.750 0.750
```

## Properties
Electronic total energy ... -4.5354 eV per atom
Symmetry ... F-43m
Size of the total moment ... 0.01 μB/f.u.


(2)
The following is a DFT calculation (PBE-GGA) of a relaxed structure of KTbAu3O4.

```
KTbAu3O4
1.0
5.679 0.000 0.000
0.000 5.679 0.000
0.000 0.000 5.679
Au O K Tb
3 4 1 1
Direct
0.500 0.500 0.000
0.500 0.000 0.500
0.000 0.500 0.500
0.722 0.278 0.722
0.278 0.722 0.722
0.278 0.278 0.278
0.722 0.722 0.278
0.000 0.000 0.000
0.500 0.500 0.500
```

## Properties
Electronic total energy ... -4.5671 eV per atom
Symmetry ... P-43m
Size of the total moment ... 0.87 μB/f.u.


(3)
The following is a DFT calculation (PBE-GGA) of a relaxed structure of YHfCS.

```
YHfCS
1.0
-1.053 -0.733 -3.275
-1.676 -1.422 2.746
-7.814 9.813 0.314
Y Hf S C
2 2 2 2
Direct
0.667 0.333 0.348
0.667 0.333 0.652
0.333 0.667 0.857
0.333 0.667 0.143
0.667 0.333 0.000
0.333 0.667 0.500
0.000 0.000 0.228
0.000 0.000 0.772
```

## Properties
Electronic total energy ... -8.7157 eV per atom
Symmetry ... P-6m2
Size of the total moment ... 0.00 μB/f.u.


(4)
The following is a DFT calculation (PBE-GGA) of a relaxed structure of GdAuSeO.

```
GdAuSeO
1.0
-2.649 6.563 1.870
-1.676 -2.273 5.602
5.549 1.607 2.312
Gd Au Se O
4 4 4 4
Direct
0.392 0.993 0.251
0.608 0.493 0.249
0.392 0.507 0.751
0.608 0.007 0.749
0.070 0.709 0.012
0.930 0.209 0.488
0.070 0.791 0.512
0.930 0.291 0.988
0.804 0.968 0.199
0.196 0.032 0.801
0.804 0.532 0.699
0.196 0.468 0.301
0.495 0.259 0.000
0.495 0.241 0.500
0.505 0.741 0.000
0.505 0.759 0.500
```

## Properties
Electronic total energy ... -5.7662 eV per atom
Symmetry ... P2_1/c
Size of the total moment ... 0.00 μB/f.u.